# PBE LiTaIr2, optimized geometry
data_LiTaIr2
_chemical_formula_sum 'Li1 Ta1 Ir2'
_space_group_name_H-M_alt 'P 1'
_space_group_IT_number 1
_space_group_name_Hall 'P 1'
_cell_length_a 4.3565
_cell_length_b 4.3565
_cell_length_c 4.3565
_cell_angle_alpha 60.00
_cell_angle_beta 60.00
_cell_angle_gamma 60.00
loop_
_atom_site_label
_atom_site_type_symbol
_atom_site_fract_x
_atom_site_fract_y
_atom_site_fract_z
Ir1 Ir 0.2500 0.2500 0.2500
Ir2 Ir 0.7500 0.7500 0.7500
Li1 Li 0.0000 0.0000 0.0000
Ta1 Ta 0.5000 0.5000 0.5000
# **SG**: Fm-3m (225)
# **Offset from the most stable computed form**: 0 meV/atom
# **Density**: 16.25 g/cm3
# **Formation enthalpy at 0 K**: -2.39 eV per formula unit
# **N(E_F)**: 0.13 states/eV per cell